(1)
# ZrInTe4 (PBE, optimized geometry)
# total magnetization = 2.00 μB/f.u.
# formation energy without anion corrections = 0.4739 eV per atom
# D(E_F) = 22.47 states/eV/cell
# offset from the most stable computed form = 5.28 eV/f.u.
# crystal system = cubic
data_ZrInTe4
_chemical_formula_sum 'Zr4 In4 Te16'
_cell_length_a 8.9347
_cell_length_b 8.9347
_cell_length_c 8.9347
_cell_angle_alpha 90.00
_cell_angle_beta 90.00
_cell_angle_gamma 90.00
_symmetry_space_group_name_H-M 'F -4 3 m'
_symmetry_Int_Tables_number 216
_symmetry_space_group_name_Hall 'F -4 2 3'
loop_
_atom_site_label
_atom_site_fract_x
_atom_site_fract_y
_atom_site_fract_z
Zr1 0.0000 0.0000 0.0000
In1 0.2500 0.2500 0.7500
Te1 0.1259 0.1259 0.3741

=====

(2)
# ZrIn2Te (PBE, optimized geometry)
# total magnetization = 0.00 μB/f.u.
# formation energy without anion corrections = 0.0673 eV per atom
# D(E_F) = 14.62 states/eV/cell
# crystal system = tetragonal
data_ZrIn2Te
_chemical_formula_sum 'Zr4 In8 Te4'
_cell_length_a 8.5249
_cell_length_b 8.5249
_cell_length_c 5.9440
_cell_angle_alpha 90.00
_cell_angle_beta 90.00
_cell_angle_gamma 90.00
_symmetry_space_group_name_H-M 'I -4 2 d'
_symmetry_Int_Tables_number 122
_symmetry_space_group_name_Hall 'I -4 2bw'
loop_
_atom_site_label
_atom_site_fract_x
_atom_site_fract_y
_atom_site_fract_z
Zr1 0.0000 0.0000 0.0000
In1 0.2383 0.2500 0.1250
Te1 0.0000 0.0000 0.5000

=====

(3)
# ZrInTe4 (PBE, optimized geometry)
# total magnetization = 0.00 μB/f.u.
# formation energy without anion corrections = -0.4067 eV per atom
# D(E_F) = 6.38 states/eV/cell
# offset from the most stable computed form = 0.00 eV/f.u.
# crystal system = monoclinic
data_ZrInTe4
_chemical_formula_sum 'Zr2 In2 Te8'
_cell_length_a 7.1069
_cell_length_b 7.3687
_cell_length_c 7.4175
_cell_angle_alpha 90.00
_cell_angle_beta 93.60
_cell_angle_gamma 90.00
_symmetry_space_group_name_H-M 'P 1 21/c 1'
_symmetry_Int_Tables_number 14
loop_
_symmetry_equiv_pos_as_xyz
'x,y,z'
'-x,-y,-z'
'-x,y+1/2,-z+1/2'
'x,-y+1/2,z+1/2'
loop_
_atom_site_label
_atom_site_fract_x
_atom_site_fract_y
_atom_site_fract_z
Zr1 0.0000 0.0000 0.0000
In1 0.5000 0.0000 0.5000
Te1 0.0996 0.1474 0.3523
Te2 0.3687 0.6079 0.3904

=====

(4)
# ZrIn2Te (PBE, optimized geometry)
# total magnetization = 0.00 μB/f.u.
# formation energy without anion corrections = -0.2623 eV per atom
# D(E_F) = 10.76 states/eV/cell
# crystal system = trigonal
data_ZrIn2Te
_chemical_formula_sum 'Zr3 In6 Te3'
_cell_length_a 3.7136
_cell_length_b 3.7136
_cell_length_c 27.2869
_cell_angle_alpha 90.00
_cell_angle_beta 90.00
_cell_angle_gamma 120.00
_symmetry_space_group_name_H-M 'R 3 m'
_symmetry_Int_Tables_number 160
_symmetry_space_group_name_Hall 'R 3 -2"'
loop_
_atom_site_label
_atom_site_fract_x
_atom_site_fract_y
_atom_site_fract_z
Zr1 0.0000 0.0000 0.0000
In1 0.0000 0.0000 0.2519
In2 0.0000 0.0000 0.4988
Te1 0.0000 0.0000 0.7365

=====

(5)
# Zr2InTe (PBE, optimized geometry)
# total magnetization = 0.00 μB/f.u.
# formation energy without anion corrections = -0.3437 eV per atom
# D(E_F) = 6.21 states/eV/cell
# offset from the most stable computed form = 0.38 eV/f.u.
# crystal system = orthorhombic
data_Zr2InTe
_chemical_formula_sum 'Zr4 In2 Te2'
_cell_length_a 6.6063
_cell_length_b 7.8928
_cell_length_c 3.5005
_cell_angle_alpha 90.00
_cell_angle_beta 90.00
_cell_angle_gamma 90.00
_symmetry_space_group_name_H-M 'C m m m'
_symmetry_Int_Tables_number 65
_symmetry_space_group_name_Hall '-C 2 2'
loop_
_atom_site_label
_atom_site_fract_x
_atom_site_fract_y
_atom_site_fract_z
Zr1 0.2500 0.2500 0.0000
In1 0.0000 0.0000 0.5000
Te1 0.0000 0.5000 0.5000

=====

(6)
# Zr2InTe (PBE, optimized geometry)
# total magnetization = 0.00 μB/f.u.
# formation energy without anion corrections = 0.4450 eV per atom
# D(E_F) = 19.47 states/eV/cell
# offset from the most stable computed form = 3.53 eV/f.u.
# crystal system = tetragonal
data_Zr2InTe
_chemical_formula_sum 'Zr8 In4 Te4'
_cell_length_a 6.2342
_cell_length_b 6.2342
_cell_length_c 14.1540
_cell_angle_alpha 90.00
_cell_angle_beta 90.00
_cell_angle_gamma 90.00
_symmetry_space_group_name_H-M 'I -4 2 d'
_symmetry_Int_Tables_number 122
_symmetry_space_group_name_Hall 'I -4 2bw'
loop_
_atom_site_label
_atom_site_fract_x
_atom_site_fract_y
_atom_site_fract_z
Zr1 0.2394 0.2500 0.1250
In1 0.0000 0.0000 0.0000
Te1 0.0000 0.0000 0.5000

=====

Repeat the first record exactly.
# ZrInTe4 (PBE, optimized geometry)
# total magnetization = 2.00 μB/f.u.
# formation energy without anion corrections = 0.4739 eV per atom
# D(E_F) = 22.47 states/eV/cell
# offset from the most stable computed form = 5.28 eV/f.u.
# crystal system = cubic
data_ZrInTe4
_chemical_formula_sum 'Zr4 In4 Te16'
_cell_length_a 8.9347
_cell_length_b 8.9347
_cell_length_c 8.9347
_cell_angle_alpha 90.00
_cell_angle_beta 90.00
_cell_angle_gamma 90.00
_symmetry_space_group_name_H-M 'F -4 3 m'
_symmetry_Int_Tables_number 216
_symmetry_space_group_name_Hall 'F -4 2 3'
loop_
_atom_site_label
_atom_site_fract_x
_atom_site_fract_y
_atom_site_fract_z
Zr1 0.0000 0.0000 0.0000
In1 0.2500 0.2500 0.7500
Te1 0.1259 0.1259 0.3741

=====

Look up the D(E_F) of the second one. 14.62 states/eV/cell